Entry from Alexandria via LeMat-Bulk: a relaxed Ga3CoF crystal (PBE+U).

It has space group Pm-3m (No. 221), with a = 4.483 Å, b = 4.483 Å, c = 4.483 Å, α = 90.00°, β = 90.00° and γ = 90.00°. The inequivalent atoms are Ga at (0.000, 0.000, 0.500), Co at (0.000, 0.000, 0.000) and F at (0.500, 0.500, 0.500).

Its total DFT energy (no corrections) is -3.61 eV per atom. The value obtained for the density of states at the Fermi level is 2.1 states/eV/f.u. As for the calculated volume: 18.02 Å³/atom. Its energy above the most stable polymorph in this dataset is 0 meV/atom.